Record 1
Here is an optimized crystal structure of Re2P from Alexandria. Energies are from GGA-PBEsol.

```
data_Re2P
_cell_length_a 2.9345
_cell_length_b 5.3458
_cell_length_c 5.5183
_cell_angle_alpha 101.62
_cell_angle_beta 90.00
_cell_angle_gamma 105.93
_symmetry_space_group_name_H-M 'P 1'
_symmetry_Int_Tables_number 1
_symmetry_space_group_name_Hall 'P 1'
loop_
_atom_site_label
_atom_site_type_symbol
_atom_site_fract_x
_atom_site_fract_y
_atom_site_fract_z
Re1 Re 0.9632 0.9263 0.7205
Re2 Re 0.3142 0.6284 0.3490
Re3 Re 0.0368 0.0737 0.2795
Re4 Re 0.6858 0.3716 0.6510
P1 P 0.6501 0.3002 0.0602
P2 P 0.3499 0.6998 0.9398
```

Values from the calculation:
- Calculated volume: 13.57 A^3/atom
- Energy relative to the lowest polymorph listed for this composition: 0 meV/atom
- Calculated formation energy: -100 kJ/mol of formula units


Record 2
Here is an optimized crystal structure of Re2P from Alexandria. Energies are from GGA-PBEsol.

```
data_Re2P
_cell_length_a 4.3575
_cell_length_b 4.3575
_cell_length_c 4.9963
_cell_angle_alpha 90.00
_cell_angle_beta 90.00
_cell_angle_gamma 120.00
_symmetry_space_group_name_H-M 'P 1'
_symmetry_Int_Tables_number 1
_symmetry_space_group_name_Hall 'P 1'
loop_
_atom_site_label
_atom_site_type_symbol
_atom_site_fract_x
_atom_site_fract_y
_atom_site_fract_z
P1 P 0.6667 0.3333 0.7500
P2 P 0.3333 0.6667 0.2500
Re1 Re 0.0000 0.0000 0.0000
Re2 Re 0.0000 0.0000 0.5000
Re3 Re 0.6667 0.3333 0.2500
Re4 Re 0.3333 0.6667 0.7500
```

Values from the calculation:
- Calculated volume: 13.69 A^3/atom
- Energy relative to the lowest polymorph listed for this composition: 755 meV/atom
- Calculated formation energy: 118 kJ/mol of formula units


Record 3
Here is an optimized crystal structure of Re3P4 from Alexandria. Energies are from GGA-PBEsol.

```
data_Re3P4
_cell_length_a 2.9874
_cell_length_b 6.0306
_cell_length_c 6.2594
_cell_angle_alpha 113.22
_cell_angle_beta 103.81
_cell_angle_gamma 90.00
_symmetry_space_group_name_H-M 'P 1'
_symmetry_Int_Tables_number 1
_symmetry_space_group_name_Hall 'P 1'
loop_
_atom_site_label
_atom_site_type_symbol
_atom_site_fract_x
_atom_site_fract_y
_atom_site_fract_z
Re1 Re 0.0000 0.0000 0.0000
Re2 Re 0.2638 0.3188 0.5275
Re3 Re 0.7362 0.6812 0.4725
P1 P 0.3507 0.0256 0.7014
P2 P 0.6493 0.9744 0.2986
P3 P 0.0835 0.4359 0.1669
P4 P 0.9165 0.5641 0.8331
```

Values from the calculation:
- Calculated volume: 14.30 A^3/atom
- Calculated formation energy: -301 kJ/mol of formula units


Record 4
Here is an optimized crystal structure of Re2P from Alexandria. Energies are from GGA-PBEsol.

```
data_Re2P
_cell_length_a 3.0052
_cell_length_b 5.7074
_cell_length_c 9.9392
_cell_angle_alpha 90.00
_cell_angle_beta 90.00
_cell_angle_gamma 90.00
_symmetry_space_group_name_H-M 'P 1'
_symmetry_Int_Tables_number 1
_symmetry_space_group_name_Hall 'P 1'
loop_
_atom_site_label
_atom_site_type_symbol
_atom_site_fract_x
_atom_site_fract_y
_atom_site_fract_z
P1 P 0.7500 0.9929 0.6351
P2 P 0.2500 0.5071 0.1351
P3 P 0.2500 0.0071 0.3649
P4 P 0.7500 0.4929 0.8649
Re1 Re 0.7500 0.3212 0.4849
Re2 Re 0.2500 0.1788 0.9849
Re3 Re 0.2500 0.6788 0.5151
Re4 Re 0.7500 0.8212 0.0151
Re5 Re 0.7500 0.6855 0.2893
Re6 Re 0.2500 0.8145 0.7893
Re7 Re 0.2500 0.3145 0.7107
Re8 Re 0.7500 0.1855 0.2107
```

Values from the calculation:
- Calculated volume: 14.21 A^3/atom
- Energy relative to the lowest polymorph listed for this composition: 219 meV/atom
- Calculated formation energy: -37 kJ/mol of formula units


Record 5
Here is an optimized crystal structure of ReP2 from Alexandria. Energies are from GGA-PBEsol.

```
data_ReP2
_cell_length_a 4.7553
_cell_length_b 4.7553
_cell_length_c 4.7553
_cell_angle_alpha 107.85
_cell_angle_beta 110.29
_cell_angle_gamma 110.29
_symmetry_space_group_name_H-M 'P 1'
_symmetry_Int_Tables_number 1
_symmetry_space_group_name_Hall 'P 1'
loop_
_atom_site_label
_atom_site_type_symbol
_atom_site_fract_x
_atom_site_fract_y
_atom_site_fract_z
P1 P 0.5000 0.8530 0.6470
P2 P 0.5000 0.1470 0.3530
P3 P 0.2060 0.3530 0.8530
P4 P 0.7940 0.6470 0.1470
Re1 Re 0.0000 0.2500 0.2500
Re2 Re 0.0000 0.7500 0.7500
```

Values from the calculation:
- Calculated volume: 13.79 A^3/atom
- Calculated formation energy: -37 kJ/mol of formula units


Record 6
Here is an optimized crystal structure of ReP2 from Alexandria. Energies are from GGA-PBEsol.

```
data_ReP2
_cell_length_a 4.0239
_cell_length_b 4.0239
_cell_length_c 4.0239
_cell_angle_alpha 60.00
_cell_angle_beta 60.00
_cell_angle_gamma 60.00
_symmetry_space_group_name_H-M 'P 1'
_symmetry_Int_Tables_number 1
_symmetry_space_group_name_Hall 'P 1'
loop_
_atom_site_label
_atom_site_type_symbol
_atom_site_fract_x
_atom_site_fract_y
_atom_site_fract_z
Re1 Re 0.0000 0.0000 0.0000
P1 P 0.7500 0.7500 0.7500
P2 P 0.2500 0.2500 0.2500
```

Values from the calculation:
- Calculated volume: 15.36 A^3/atom
- Calculated formation energy: 25 kJ/mol of formula units


Record 7
Here is an optimized crystal structure of RePRh3 from Alexandria. Energies are from GGA-PBEsol.

```
data_RePRh3
_cell_length_a 4.6128
_cell_length_b 4.6128
_cell_length_c 4.6128
_cell_angle_alpha 90.00
_cell_angle_beta 90.00
_cell_angle_gamma 90.00
_symmetry_space_group_name_H-M 'P 1'
_symmetry_Int_Tables_number 1
_symmetry_space_group_name_Hall 'P 1'
loop_
_atom_site_label
_atom_site_type_symbol
_atom_site_fract_x
_atom_site_fract_y
_atom_site_fract_z
Re1 Re 0.0000 0.0000 0.0000
Rh1 Rh 0.0000 0.5000 0.0000
Rh2 Rh 0.0000 0.0000 0.5000
Rh3 Rh 0.5000 0.0000 0.0000
P1 P 0.5000 0.5000 0.5000
```

Values from the calculation:
- Calculated volume: 19.63 A^3/atom
- Calculated formation energy: 778 kJ/mol of formula units


Record 8
Here is an optimized crystal structure of ReP2Rh from Alexandria. Energies are from GGA-PBEsol.

```
data_ReP2Rh
_cell_length_a 2.8840
_cell_length_b 2.8840
_cell_length_c 7.5091
_cell_angle_alpha 90.00
_cell_angle_beta 90.00
_cell_angle_gamma 118.19
_symmetry_space_group_name_H-M 'P 1'
_symmetry_Int_Tables_number 1
_symmetry_space_group_name_Hall 'P 1'
loop_
_atom_site_label
_atom_site_type_symbol
_atom_site_fract_x
_atom_site_fract_y
_atom_site_fract_z
P1 P 0.0000 0.0000 0.2480
P2 P 0.0000 0.0000 0.7520
Re1 Re 0.5000 0.5000 0.5000
Rh1 Rh 0.5000 0.5000 0.0000
```

Values from the calculation:
- Calculated volume: 13.76 A^3/atom
- Energy relative to the lowest polymorph listed for this composition: 0 meV/atom
- Calculated formation energy: 58 kJ/mol of formula units


Record 9
Here is an optimized crystal structure of RePRh2 from Alexandria. Energies are from GGA-PBEsol.

```
data_RePRh2
_cell_length_a 2.7516
_cell_length_b 2.7516
_cell_length_c 8.2635
_cell_angle_alpha 80.42
_cell_angle_beta 80.42
_cell_angle_gamma 60.00
_symmetry_space_group_name_H-M 'P 1'
_symmetry_Int_Tables_number 1
_symmetry_space_group_name_Hall 'P 1'
loop_
_atom_site_label
_atom_site_type_symbol
_atom_site_fract_x
_atom_site_fract_y
_atom_site_fract_z
P1 P 0.0000 0.0000 0.0000
Re1 Re 0.5000 0.5000 0.5000
Rh1 Rh 0.2585 0.2585 0.2245
Rh2 Rh 0.7415 0.7415 0.7755
```

Values from the calculation:
- Calculated volume: 13.29 A^3/atom
- Calculated formation energy: -87 kJ/mol of formula units


Record 10
Here is an optimized crystal structure of ReP2Rh from Alexandria. Energies are from GGA-PBEsol.

```
data_ReP2Rh
_cell_length_a 2.8744
_cell_length_b 3.8443
_cell_length_c 4.9779
_cell_angle_alpha 90.00
_cell_angle_beta 90.00
_cell_angle_gamma 90.00
_symmetry_space_group_name_H-M 'P 1'
_symmetry_Int_Tables_number 1
_symmetry_space_group_name_Hall 'P 1'
loop_
_atom_site_label
_atom_site_type_symbol
_atom_site_fract_x
_atom_site_fract_y
_atom_site_fract_z
P1 P 0.0000 0.0000 0.0000
P2 P 0.5000 0.0000 0.5000
Re1 Re 0.5000 0.5000 0.0000
Rh1 Rh 0.0000 0.5000 0.5000
```

Values from the calculation:
- Calculated volume: 13.75 A^3/atom
- Energy relative to the lowest polymorph listed for this composition: 22 meV/atom
- Calculated formation energy: 67 kJ/mol of formula units


Record 11
Here is an optimized crystal structure of ReP2Rh from Alexandria. Energies are from GGA-PBEsol.

```
data_ReP2Rh
_cell_length_a 4.2622
_cell_length_b 4.2622
_cell_length_c 4.2622
_cell_angle_alpha 60.00
_cell_angle_beta 60.00
_cell_angle_gamma 60.00
_symmetry_space_group_name_H-M 'P 1'
_symmetry_Int_Tables_number 1
_symmetry_space_group_name_Hall 'P 1'
loop_
_atom_site_label
_atom_site_type_symbol
_atom_site_fract_x
_atom_site_fract_y
_atom_site_fract_z
P1 P 0.0000 0.0000 0.0000
P2 P 0.7500 0.7500 0.7500
Re1 Re 0.5000 0.5000 0.5000
Rh1 Rh 0.2500 0.2500 0.2500
```

Values from the calculation:
- Calculated volume: 13.69 A^3/atom
- Energy relative to the lowest polymorph listed for this composition: 289 meV/atom
- Calculated formation energy: 170 kJ/mol of formula units


Record 12
Here is an optimized crystal structure of RePRh2 from Alexandria. Energies are from GGA-PBEsol.

```
data_RePRh2
_cell_length_a 2.8379
_cell_length_b 2.8379
_cell_length_c 6.5774
_cell_angle_alpha 90.00
_cell_angle_beta 90.00
_cell_angle_gamma 90.00
_symmetry_space_group_name_H-M 'P 1'
_symmetry_Int_Tables_number 1
_symmetry_space_group_name_Hall 'P 1'
loop_
_atom_site_label
_atom_site_type_symbol
_atom_site_fract_x
_atom_site_fract_y
_atom_site_fract_z
P1 P 0.0000 0.0000 0.4987
Re1 Re 0.5000 0.5000 0.7213
Rh1 Rh 0.0000 0.0000 0.9851
Rh2 Rh 0.5000 0.5000 0.2949
```

Values from the calculation:
- Calculated volume: 13.24 A^3/atom
- Calculated formation energy: -87 kJ/mol of formula units